# 1
# Pr2BePd, optimized geometry, DFT PBE
data_Pr2BePd
_space_group_name_H-M_alt 'P 4/m m m'
_space_group_IT_number 123
_space_group_name_Hall '-P 4 2'
_cell_length_a 3.6553
_cell_length_b 3.6553
_cell_length_c 7.0238
_cell_angle_alpha 90.00
_cell_angle_beta 90.00
_cell_angle_gamma 90.00
loop_
_atom_site_label
_atom_site_type_symbol
_atom_site_fract_x
_atom_site_fract_y
_atom_site_fract_z
Pr1 Pr 0.0000 0.0000 0.2430
Be1 Be 0.5000 0.5000 0.0000
Pd1 Pd 0.5000 0.5000 0.5000
# Offset from the most stable computed form = 0 meV/atom
# Calculated volume = 23.46 Å³ per atom
# ΔH_f (0 K) = -0.235 eV/atom


# 2
# LaCe3Pr3Te8, optimized geometry, DFT PBE
data_LaCe3Pr3Te8
_space_group_name_H-M_alt 'R -3 m'
_space_group_IT_number 166
_space_group_name_Hall '-R 3 2"'
_cell_length_a 9.0051
_cell_length_b 9.0051
_cell_length_c 22.1147
_cell_angle_alpha 90.00
_cell_angle_beta 90.00
_cell_angle_gamma 120.00
loop_
_atom_site_label
_atom_site_type_symbol
_atom_site_fract_x
_atom_site_fract_y
_atom_site_fract_z
La1 La 0.0000 0.0000 0.0000
Ce1 Ce 0.0000 0.5000 0.0000
Pr1 Pr 0.0000 0.5000 0.5000
Te1 Te 0.0000 0.0000 0.2509
Te2 Te 0.0104 0.5052 0.2484
# Calculated volume = 34.51 Å³ per atom
# Energy relative to the elements, uncorrected = -1.453 eV per atom


# 3
# VCrCuBr, optimized geometry, DFT PBE
data_VCrCuBr
_space_group_name_H-M_alt 'C 1 m 1'
_space_group_IT_number 8
_cell_length_a 13.6282
_cell_length_b 3.2528
_cell_length_c 3.0914
_cell_angle_alpha 90.00
_cell_angle_beta 102.93
_cell_angle_gamma 90.00
loop_
_space_group_symop_operation_xyz
'x,y,z'
'x,-y,z'
'x+1/2,y+1/2,z'
'x+1/2,-y+1/2,z'
loop_
_atom_site_label
_atom_site_type_symbol
_atom_site_fract_x
_atom_site_fract_y
_atom_site_fract_z
V1 V 0.0000 0.0000 0.0000
Cr1 Cr 0.4187 0.0000 0.4195
Cu1 Cu 0.1132 0.5000 0.6122
Br1 Br 0.2645 0.0000 0.7672
# Offset from the most stable computed form = 77 meV/atom
# Calculated volume = 16.70 Å³ per atom
# Energy relative to the elements, uncorrected = 0.339 eV per atom


# 4
# LiSm6Rh5, optimized geometry, DFT PBE
data_LiSm6Rh5
_space_group_name_H-M_alt 'I m m m'
_space_group_IT_number 71
_space_group_name_Hall '-I 2 2'
_cell_length_a 4.9230
_cell_length_b 7.1489
_cell_length_c 14.9074
_cell_angle_alpha 90.00
_cell_angle_beta 90.00
_cell_angle_gamma 90.00
loop_
_atom_site_label
_atom_site_type_symbol
_atom_site_fract_x
_atom_site_fract_y
_atom_site_fract_z
Li1 Li 0.0000 0.0000 0.0000
Sm1 Sm 0.0000 0.2392 0.5000
Sm2 Sm 0.0000 0.2552 0.1706
Rh1 Rh 0.0000 0.0000 0.3310
Rh2 Rh 0.0000 0.5000 0.0000
Rh3 Rh 0.0000 0.5000 0.3403
# Calculated volume = 21.86 Å³ per atom
# ΔH_f (0 K) = -0.624 eV/atom


- Look up the calculated volume of the first one.
  23.46 Å³ per atom


- The lowest calculated volume belongs to which entry?
  VCrCuBr